AlGe3Mo2 after structural relaxation. Source: the Alexandria database, functional GGA-PBEsol.

Unit cell a=4.7952 b=4.7963 c=13.3448 alpha=89.74 beta=89.74 gamma=60.01
Closest atoms and distances in Å follow each position.
Atoms (fractional coordinates):
Al 0.0000 0.0000 0.0000  5 Ge 2.57-2.78, 5 Mo 2.64-2.78
Al 0.0059 0.9974 0.4977  5 Ge 2.58-2.79, 5 Mo 2.63-2.79
Al 0.4931 0.0002 0.1642  5 Ge 2.58-2.78, 5 Mo 2.65-2.78
Ge 0.1624 0.6684 0.1627  4 Al 2.57-2.78, 5 Mo 2.64-2.78, 1 Ge 2.64
Ge 0.1643 0.1586 0.8340  1 Al 2.58, 5 Mo 2.58-2.81, 4 Ge 2.65-2.82
Ge 0.1664 0.6722 0.6630  1 Al 2.58, 5 Mo 2.61-2.80, 4 Ge 2.65-2.79
Ge 0.1737 0.1522 0.3316  2 Al 2.58-2.59, 5 Mo 2.61-2.82, 3 Ge 2.71-2.81
Ge 0.4957 0.9999 0.6640  5 Mo 2.60-2.78, 5 Ge 2.63-2.79
Ge 0.4960 0.4987 0.3312  5 Mo 2.58-2.78, 5 Ge 2.63-2.81
Ge 0.4959 0.5066 0.8332  5 Mo 2.57-2.79, 5 Ge 2.64-2.82
Ge 0.6669 0.6702 0.0011  4 Al 2.58-2.78, 5 Mo 2.63-2.79, 1 Ge 2.64
Ge 0.6715 0.6601 0.4979  5 Mo 2.60-2.78, 2 Ge 2.63, 3 Al 2.75-2.79
Mo 0.3315 0.3344 0.9950  6 Ge 2.57-2.79, 4 Al 2.65-2.78
Mo 0.3353 0.3306 0.4986  7 Ge 2.60-2.78, 3 Al 2.75-2.79
Mo 0.8293 0.8350 0.8284  9 Ge 2.60-2.81, 1 Al 2.69
Mo 0.8304 0.3329 0.1685  6 Ge 2.58-2.78, 4 Al 2.64-2.78
Mo 0.8309 0.3343 0.6680  9 Ge 2.60-2.80, 1 Al 2.67
Mo 0.8335 0.8302 0.3319  8 Ge 2.60-2.82, 2 Al 2.63-2.65

DOS at the Fermi energy = 2.595 states/eV/f.u.
ΔE_f = -0.281 eV per atom
Electronic total energy = -7.355 eV per atom